(1)
NbGe2Rh2 | GGA-PBE | optimized geometry

abc: 7.3260 7.3260 2.8473
angles: 90.00 90.00 90.00
With the nearest neighbours (Å) after each atom.
Element x y z (fractional)
1 Rh 0.6482 0.8518 0.5000  6 Ge 2.52-2.61
2 Ge 0.3494 0.8494 0.0000  6 Rh 2.52-2.61, 2 Nb 2.79
3 Nb 0.0000 0.0000 0.0000  4 Ge 2.79, 2 Nb 2.85
4 Nb 0.5000 0.5000 0.0000  4 Ge 2.79, 2 Nb 2.85
5 Rh 0.1482 0.6482 0.5000  6 Ge 2.52-2.61
6 Ge 0.1506 0.3494 0.0000  6 Rh 2.52-2.61, 2 Nb 2.79
7 Ge 0.8494 0.6506 0.0000  6 Rh 2.52-2.61, 2 Nb 2.79
8 Rh 0.8518 0.3518 0.5000  6 Ge 2.52-2.61
9 Rh 0.3518 0.1482 0.5000  6 Ge 2.52-2.61
10 Ge 0.6506 0.1506 0.0000  6 Rh 2.52-2.61, 2 Nb 2.79

## Properties
**Energy of formation**: -0.3909 eV per atom

---

(2)
Na2In12Cu7 | GGA-PBE | optimized geometry

abc: 4.2366 11.1583 11.1583
angles: 120.00 90.00 90.00
With the nearest neighbours (Å) after each atom.
Element x y z (fractional)
1 Cu 0.2467 0.7094 0.5913  7 In 2.68-2.88
2 In 0.2502 0.4483 0.3806  4 Cu 2.68-2.88
3 Cu 0.2467 0.4087 0.1180  7 In 2.68-2.88
4 In 0.2502 0.9323 0.5517  4 Cu 2.68-2.88
5 In 0.7508 0.2608 0.1430  4 Cu 2.74-2.81
6 In 0.7508 0.8570 0.1178  4 Cu 2.74-2.81
7 Cu 0.7533 0.1180 0.7094  7 In 2.68-2.88
8 Na 0.7479 0.6667 0.3333  6 Cu 3.41, 6 In 3.46-3.47
9 In 0.2492 0.1178 0.2608  4 Cu 2.74-2.81
10 Cu 0.7533 0.5913 0.8820  7 In 2.68-2.88
11 In 0.7498 0.3806 0.9323  4 Cu 2.68-2.88
12 In 0.7508 0.8822 0.7392  4 Cu 2.74-2.81
13 Na 0.2521 0.3333 0.6667  6 Cu 3.41, 6 In 3.46-3.47
14 In 0.2502 0.6194 0.0677  4 Cu 2.68-2.88
15 Cu 0.5000 0.0000 0.0000  6 In 2.74
16 Cu 0.2467 0.8820 0.2906  7 In 2.68-2.88
17 In 0.7498 0.5517 0.6194  4 Cu 2.68-2.88
18 Cu 0.7533 0.2906 0.4087  7 In 2.68-2.88
19 In 0.2492 0.1430 0.8822  4 Cu 2.74-2.81
20 In 0.7498 0.0677 0.4483  4 Cu 2.68-2.88
21 In 0.2492 0.7392 0.8570  4 Cu 2.74-2.81

## Properties
**Energy of formation**: 0.0263 eV per atom